## Cd2Co3AgO8 (PBE+U)

Data for crystalline Cd2Co3AgO8 at its relaxed geometry.

Cell and atoms, written as extended XYZ:
```
14
Lattice="5.859 0.000 0.000 2.929 5.074 0.000 2.929 1.691 5.438" Properties=species:S:1:pos:R:3 pbc="T T T"
Co 4.404 2.542 0.006
O 7.156 4.131 1.000
O 5.859 4.899 4.438
O 2.929 1.691 1.034
O 7.172 2.625 4.438
O 5.859 1.885 1.000
Co 5.859 5.063 0.006
Cd 2.929 1.691 3.281
O 4.546 2.625 4.438
O 4.562 4.131 1.000
Cd 5.859 3.383 2.735
Co 7.314 2.542 0.006
O 8.788 5.074 4.439
Ag 8.788 5.074 2.210
```

**Calculated total energy**: -5.019 eV per atom
**N(E_F)**: 1.73 states/eV/cell
**SG**: R3m, No. 160